[1]
# CsNa2Hg6 PBE optimized geometry
# - Offset from the most stable computed form: 15.3 meV/atom
# - Calculated formation energy: -0.190 eV per atom
data_CsNa2Hg6
_cell_length_a 9.3543
_cell_length_b 9.3543
_cell_length_c 3.7144
_cell_angle_alpha 90.00
_cell_angle_beta 90.00
_cell_angle_gamma 120.00
_space_group_name_H-M_alt 'P 6/m m m'
_space_group_IT_number 191
_space_group_name_Hall '-P 6 2'
loop_
_atom_site_label
_atom_site_fract_x
_atom_site_fract_y
_atom_site_fract_z
_atom_site_occupancy
Cs1 0.0000 0.0000 0.0000 1
Na1 0.3333 0.6667 0.0000 1
Hg1 0.0000 0.3437 0.5000 1

---

[2]
# Cs2Na3Hg PBE optimized geometry
# - Calculated formation energy: -0.057 eV per atom
data_Cs2Na3Hg
_cell_length_a 7.3682
_cell_length_b 7.3682
_cell_length_c 18.9233
_cell_angle_alpha 90.00
_cell_angle_beta 90.00
_cell_angle_gamma 120.00
_space_group_name_H-M_alt 'R -3 m'
_space_group_IT_number 166
_space_group_name_Hall '-R 3 2"'
loop_
_atom_site_label
_atom_site_fract_x
_atom_site_fract_y
_atom_site_fract_z
_atom_site_occupancy
Cs1 0.0000 0.0000 0.1273 1
Na1 0.0000 0.5000 0.0000 1
Hg1 0.0000 0.0000 0.5000 1

---

[3]
# CsNa6Hg4 PBE optimized geometry
# - Calculated formation energy: -0.188 eV per atom
data_CsNa6Hg4
_cell_length_a 9.0426
_cell_length_b 9.0426
_cell_length_c 5.1233
_cell_angle_alpha 90.00
_cell_angle_beta 90.00
_cell_angle_gamma 120.00
_space_group_name_H-M_alt 'P -6 m 2'
_space_group_IT_number 187
_space_group_name_Hall 'P -6 2'
loop_
_atom_site_label
_atom_site_fract_x
_atom_site_fract_y
_atom_site_fract_z
_atom_site_occupancy
Cs1 0.0000 0.0000 0.0000 1
Na1 0.2046 0.4093 0.5000 1
Na2 0.5318 0.0636 0.0000 1
Hg1 0.3333 0.6667 0.0000 1
Hg2 0.4233 0.2117 0.5000 1

---

[4]
# CsNa2Hg6 PBE optimized geometry
# - Offset from the most stable computed form: 0.0 meV/atom
# - Calculated formation energy: -0.205 eV per atom
data_CsNa2Hg6
_cell_length_a 14.1429
_cell_length_b 8.9242
_cell_length_c 5.2334
_cell_angle_alpha 90.00
_cell_angle_beta 110.58
_cell_angle_gamma 90.00
_space_group_name_H-M_alt 'C 1 2/m 1'
_space_group_IT_number 12
_space_group_name_Hall '-C 2y'
loop_
_atom_site_label
_atom_site_fract_x
_atom_site_fract_y
_atom_site_fract_z
_atom_site_occupancy
Cs1 0.0000 0.0000 0.0000 1
Na1 0.1467 0.5000 0.1496 1
Hg1 0.0000 0.3277 0.5000 1
Hg2 0.2290 0.3242 0.7298 1

---

[5]
# Cs2NaHg4 PBE optimized geometry
# - Offset from the most stable computed form: 0.0 meV/atom
# - Calculated formation energy: -0.196 eV per atom
data_Cs2NaHg4
_cell_length_a 6.9225
_cell_length_b 17.4678
_cell_length_c 5.3931
_cell_angle_alpha 90.00
_cell_angle_beta 90.00
_cell_angle_gamma 90.00
_space_group_name_H-M_alt 'C m m m'
_space_group_IT_number 65
_space_group_name_Hall '-C 2 2'
loop_
_atom_site_label
_atom_site_fract_x
_atom_site_fract_y
_atom_site_fract_z
_atom_site_occupancy
Cs1 0.0000 0.1553 0.0000 1
Na1 0.0000 0.5000 0.5000 1
Hg1 0.0000 0.3178 0.5000 1
Hg2 0.0000 0.4104 0.0000 1

---

[6]
# CsNa2Hg2 PBE optimized geometry
# - Offset from the most stable computed form: 36.1 meV/atom
# - Calculated formation energy: -0.154 eV per atom
data_CsNa2Hg2
_cell_length_a 5.7442
_cell_length_b 5.7442
_cell_length_c 12.0634
_cell_angle_alpha 90.00
_cell_angle_beta 90.00
_cell_angle_gamma 90.00
_space_group_name_H-M_alt 'I 4/m m m'
_space_group_IT_number 139
_space_group_name_Hall '-I 4 2'
loop_
_atom_site_label
_atom_site_fract_x
_atom_site_fract_y
_atom_site_fract_z
_atom_site_occupancy
Cs1 0.0000 0.0000 0.0000 1
Na1 0.0000 0.0000 0.3549 1
Hg1 0.0000 0.5000 0.2500 1